Here is a relaxed K3Mn2Br5Cl2 crystal from Alexandria. Energies are from PBE.

The structure belongs to space group I4/mmm (No. 139); the cell edges are 5.390, 5.390 and 26.051 Å and the angles 90.00°, 90.00° and 90.00°. The inequivalent atoms are K at (0.000, 0.000, 0.000), K at (0.000, 0.000, 0.182), Mn at (0.000, 0.000, 0.394), Br at (0.000, 0.000, 0.500), Br at (0.000, 0.500, 0.100) and Cl at (0.000, 0.000, 0.301).

As for the formation energy without anion corrections: -1512 kJ/mol of formula units. The magnetic moment comes out at 0.833 μB/atom.

***

Here is a relaxed KMnBrCl2 crystal from Alexandria. Energies are from PBE.

The structure belongs to space group P4/mmm (No. 123); the cell edges are 5.029, 5.029 and 5.438 Å and the angles 90.00°, 90.00° and 90.00°. The inequivalent atoms are K at (0.000, 0.000, 0.000), Mn at (0.500, 0.500, 0.500), Br at (0.500, 0.500, 0.000) and Cl at (0.000, 0.500, 0.500).

As for the formation energy without anion corrections: -638 kJ/mol of formula units. The magnetic moment comes out at 1.000 μB/atom.

***

Here is a relaxed K2MnBr2Cl2 crystal from Alexandria. Energies are from PBE.

The structure belongs to space group Immm (No. 71); the cell edges are 4.193, 7.353 and 13.637 Å and the angles 90.00°, 90.00° and 90.00°. The inequivalent atoms are K at (0.000, 0.000, 0.158), Mn at (0.000, 0.500, 0.000), Br at (0.000, 0.254, 0.500) and Cl at (0.000, 0.500, 0.178).

As for the formation energy without anion corrections: -969 kJ/mol of formula units. The magnetic moment comes out at 0.714 μB/atom.

***

Here is a relaxed K3Mn2Br3Cl4 crystal from Alexandria. Energies are from PBE.

The structure belongs to space group Immm (No. 71); the cell edges are 5.042, 5.375 and 26.358 Å and the angles 90.00°, 90.00° and 90.00°. The inequivalent atoms are K at (0.000, 0.000, 0.000), K at (0.000, 0.000, 0.183), Mn at (0.000, 0.000, 0.394), Br at (0.000, 0.000, 0.500), Br at (0.000, 0.500, 0.402), Cl at (0.000, 0.000, 0.301) and Cl at (0.000, 0.500, 0.103).

As for the formation energy without anion corrections: -1612 kJ/mol of formula units. The magnetic moment comes out at 0.833 μB/atom.

***

Here is a relaxed K2MoBr2Cl4 crystal from Alexandria. Energies are from PBE.

The structure belongs to space group C2/m (No. 12); the cell edges are 12.645, 7.156 and 7.304 Å and the angles 90.00°, 124.17° and 90.00°. The inequivalent atoms are K at (0.248, 0.000, 0.224), Mo at (0.000, 0.500, 0.000), Br at (0.241, 0.500, 0.300) and Cl at (0.031, 0.264, 0.801).

As for the formation energy without anion corrections: -1118 kJ/mol of formula units. The magnetic moment comes out at 0.222 μB/atom.

***

Here is a relaxed K2Na4Br3Cl2 crystal from Alexandria. Energies are from PBE.

The structure belongs to space group I4/mmm (No. 139); the cell edges are 5.272, 5.272 and 25.931 Å and the angles 90.00°, 90.00° and 90.00°. The inequivalent atoms are K at (0.000, 0.000, 0.205), Na at (0.000, 0.500, 0.079), Br at (0.000, 0.000, 0.348), Br at (0.000, 0.000, 0.500) and Cl at (0.000, 0.000, 0.082).

As for the formation energy without anion corrections: -1512 kJ/mol of formula units. The magnetic moment comes out at 0.000 μB/atom.